VASP calculation (PBE-GGA) on an optimized crystal structure of Ba2SrBiTe.

a = 6.9985 Å, b = 5.7674 Å, c = 6.9985 Å
α = 90.00°, β = 90.00°, γ = 90.00°
Fractional positions:
1 Te 0.5000 0.5000 0.5000
2 Bi 0.0000 0.5000 0.0000
3 Sr 0.0000 0.0000 0.0000
4 Ba 0.5000 0.0000 0.0000
5 Ba 0.0000 0.0000 0.5000

Calculated values
Raw formation energy   0.108 eV/atom
V   56.5 A^3/atom
DOS(E_F)   0.90 states/eV per atom
SG   No. 123
DFT total energy   -2.40 eV/atom